[1]
The following is a GGA-PBE calculation of a relaxed structure of Cs2ScPbF6, from the Alexandria database.

Unit cell a=6.381 b=9.139 c=7.438 alpha=90.00 beta=90.00 gamma=90.00
Space group Pmmn (No. 59, origin choice 2)
Unique sites:
Cs  0.250  0.001  0.245 [4 per cell]
Sc  0.250  0.750  0.754 [2 per cell]
Pb  0.250  0.250  0.745 [2 per cell]
F  0.017  0.750  0.565 [4 per cell]
F  0.019  0.750  0.944 [4 per cell]
F  0.250  0.523  0.755 [4 per cell]

## Properties
Final energy in eV per atom: -5.23
E_form (uncorrected) in eV per atom: -2.931
ρ in kg/m3: 4838


[2]
The following is a GGA-PBE calculation of a relaxed structure of CsScPb2F8, from the Alexandria database.

Unit cell a=5.186 b=5.762 c=8.066 alpha=93.08 beta=98.60 gamma=99.09
Space group P-1 (No. 2)
Unique sites:
Cs  0.000  0.000  0.000 [1 per cell]
Sc  0.000  0.000  0.500 [1 per cell]
Pb  0.436  0.513  0.745 [2 per cell]
F  0.007  0.261  0.691 [2 per cell]
F  0.173  0.812  0.678 [2 per cell]
F  0.342  0.206  0.467 [2 per cell]
F  0.437  0.713  0.011 [2 per cell]

## Properties
Final energy in eV per atom: -5.41
E_form (uncorrected) in eV per atom: -2.942
ρ in kg/m3: 5268


[3]
The following is a GGA-PBE calculation of a relaxed structure of CsPbSeF, from the Alexandria database.

Unit cell a=5.2205 b=5.2205 c=33.7917 alpha=90.00 beta=90.00 gamma=120.00
Space group R-3m (No. 166, hexagonal axes)
Unique sites:
Cs  0.0000  0.0000  0.1235 [6 per cell]
Pb  0.0000  0.0000  0.2899 [6 per cell]
Se  0.0000  0.0000  0.3807 [6 per cell]
F  0.0000  0.0000  0.2123 [6 per cell]

## Properties
Final energy in eV per atom: -4.03
E_form (uncorrected) in eV per atom: -1.552
ρ in kg/m3: 5472


[4]
The following is a GGA-PBE calculation of a relaxed structure of Cs2SmPb3F12, from the Alexandria database.

Unit cell a=8.5732 b=8.5732 c=21.6458 alpha=90.00 beta=90.00 gamma=120.00
Space group R-3m (No. 166, hexagonal axes)
Unique sites:
Cs  0.0000  0.0000  0.1000 [6 per cell]
Sm  0.0000  0.0000  0.5000 [3 per cell]
Pb  0.0000  0.5000  0.0000 [9 per cell]
F  0.0517  0.5259  0.3604 [18 per cell]
F  0.0845  0.5423  0.1073 [18 per cell]

## Properties
Final energy in eV per atom: -4.96
E_form (uncorrected) in eV per atom: -2.740
ρ in kg/m3: 4576


[5]
The following is a GGA-PBE calculation of a relaxed structure of CsSmPbF6, from the Alexandria database.

Unit cell a=8.247 b=8.458 c=11.683 alpha=90.00 beta=90.00 gamma=90.00
Space group Imma (No. 74)
Unique sites:
Cs  0.000  0.250  0.140 [4 per cell]
Sm  0.000  0.000  0.500 [4 per cell]
Pb  0.250  0.250  0.750 [4 per cell]
F  0.000  0.250  0.564 [4 per cell]
F  0.000  0.250  0.857 [4 per cell]
F  0.192  0.016  0.365 [16 per cell]

## Properties
Final energy in eV per atom: -5.45
E_form (uncorrected) in eV per atom: -3.168
ρ in kg/m3: 4927


[6]
The following is a GGA-PBE calculation of a relaxed structure of Cs2SnPbF6, from the Alexandria database.

Unit cell a=9.693 b=9.693 c=9.693 alpha=90.00 beta=90.00 gamma=90.00
Space group Fm-3m (No. 225)
Unique sites:
Cs  0.250  0.250  0.250 [8 per cell]
Sn  0.000  0.000  0.000 [4 per cell]
Pb  0.000  0.000  0.500 [4 per cell]
F  0.000  0.000  0.247 [24 per cell]

## Properties
Final energy in eV per atom: -4.57
E_form (uncorrected) in eV per atom: -2.507
ρ in kg/m3: 5147